The following is a GGA-PBEsol calculation of a geometry-optimized Li2InAg structure, from the Alexandria database.

Computed properties:
Formation energy from the elements, kJ per mole of atoms: -25
N(E_F), states/eV per cell: 1.16
Total magnetic moment, Bohr magnetons per cell: 0.0
V, Å³ per atom: 16.60
Space group: Pmmm, No. 47

Cell and atoms, written as CIF:
```
data_Li2InAg
_chemical_formula_sum 'Li2 In1 Ag1'
_space_group_name_H-M_alt 'P 1'
_space_group_IT_number 1
_space_group_name_Hall 'P 1'
_cell_length_a 3.091
_cell_length_b 3.432
_cell_length_c 6.258
_cell_angle_alpha 90.00
_cell_angle_beta 90.00
_cell_angle_gamma 90.00
loop_
_atom_site_label
_atom_site_fract_x
_atom_site_fract_y
_atom_site_fract_z
Li1 0.000 0.000 0.229
Li2 0.000 0.000 0.771
In1 0.500 0.500 0.500
Ag1 0.500 0.500 0.000
```

The following is a GGA-PBEsol calculation of a geometry-optimized Li2InAg2 structure, from the Alexandria database.

Computed properties:
Formation energy from the elements, kJ per mole of atoms: 1
N(E_F), states/eV per cell: 3.42
Total magnetic moment, Bohr magnetons per cell: 0.0
V, Å³ per atom: 18.80
Space group: I4/mmm, No. 139

Cell and atoms, written as CIF:
```
data_Li2InAg2
_chemical_formula_sum 'Li4 In2 Ag4'
_space_group_name_H-M_alt 'P 1'
_space_group_IT_number 1
_space_group_name_Hall 'P 1'
_cell_length_a 3.844
_cell_length_b 3.844
_cell_length_c 12.723
_cell_angle_alpha 90.00
_cell_angle_beta 90.00
_cell_angle_gamma 90.00
loop_
_atom_site_label
_atom_site_fract_x
_atom_site_fract_y
_atom_site_fract_z
Li1 0.000 0.500 0.250
Li2 0.000 0.500 0.750
Li3 0.500 0.000 0.250
Li4 0.500 0.000 0.750
In1 0.000 0.000 0.000
In2 0.500 0.500 0.500
Ag1 0.000 0.000 0.395
Ag2 0.000 0.000 0.605
Ag3 0.500 0.500 0.105
Ag4 0.500 0.500 0.895
```

The following is a GGA-PBEsol calculation of a geometry-optimized Li2InAg structure, from the Alexandria database.

Computed properties:
Formation energy from the elements, kJ per mole of atoms: -24
N(E_F), states/eV per cell: 1.10
Total magnetic moment, Bohr magnetons per cell: 0.0
V, Å³ per atom: 16.47
Space group: P4/mmm, No. 123

Cell and atoms, written as CIF:
```
data_Li2InAg
_chemical_formula_sum 'Li2 In1 Ag1'
_space_group_name_H-M_alt 'P 1'
_space_group_IT_number 1
_space_group_name_Hall 'P 1'
_cell_length_a 4.569
_cell_length_b 4.569
_cell_length_c 3.156
_cell_angle_alpha 90.00
_cell_angle_beta 90.00
_cell_angle_gamma 90.00
loop_
_atom_site_label
_atom_site_fract_x
_atom_site_fract_y
_atom_site_fract_z
Li1 0.000 0.500 0.000
Li2 0.500 0.000 0.000
In1 0.000 0.000 0.500
Ag1 0.500 0.500 0.500
```